{
  "formula": "CrFe2IrN",
  "functional": "PBE",
  "state": "optimized geometry",
  "total_energy_ev_per_atom": -8.891,
  "dos_at_fermi_per_ev_cell": 4.810,
  "raw_formation_energy_ev_per_atom": -0.144,
  "cell": [[-2.761, 1.703, 2.038], [1.217, -1.802, 3.154], [2.367, 2.928, 0.760]],
  "species": ["Fe", "Fe", "N", "Ir", "Cr"],
  "fractional_positions": [[0.500, 0.000, 0.000], [0.000, 0.500, 0.000], [0.000, 0.000, 0.000], [0.500, 0.500, 0.500], [0.000, 0.000, 0.500]]
}